(1)
RbLaIrN2: optimized geometry, GGA-PBEsol.

Computed properties:
E ... -4.60 eV per atom
Raw formation energy ... 198.02 kJ/mol of atoms
Spin magnetization ... 2.1 μB/cell
V ... 19.43 A^3/atom

Unit cell a=4.4618 b=4.4618 c=4.8809 alpha=90.00 beta=90.00 gamma=90.00
With the nearest neighbours (Å) after each atom.
Fractional positions:
Rb1 0.0000 0.0000 0.0000  4 N 2.23, 2 Ir 2.44
La1 0.5000 0.5000 0.5000  4 Ir 3.15, 8 N 3.31
Ir1 0.0000 0.0000 0.5000  2 Rb 2.44
N1 0.0000 0.5000 0.0000  2 Rb 2.23
N2 0.5000 0.0000 0.0000  2 Rb 2.23

(2)
LaIrSe2N: optimized geometry, GGA-PBEsol.

Computed properties:
E ... -6.97 eV per atom
Raw formation energy ... -66.21 kJ/mol of atoms
Spin magnetization ... 0.0 μB/cell
V ... 19.65 A^3/atom

Unit cell a=5.1219 b=5.1219 c=3.7443 alpha=90.00 beta=90.00 gamma=90.00
With the nearest neighbours (Å) after each atom.
Fractional positions:
La1 0.0000 0.0000 0.0000  8 Se 3.17
Ir1 0.5000 0.5000 0.5000  2 N 1.87
Se1 0.0000 0.5000 0.5000  2 Ir 2.56
Se2 0.5000 0.0000 0.5000  2 Ir 2.56
N1 0.5000 0.5000 0.0000  2 Ir 1.87

(3)
LaTe2IrN: optimized geometry, GGA-PBEsol.

Computed properties:
E ... -4.29 eV per atom
Raw formation energy ... 179.45 kJ/mol of atoms
Spin magnetization ... 4.6 μB/cell
V ... 38.28 A^3/atom

Unit cell a=6.1683 b=6.1683 c=5.0307 alpha=90.00 beta=90.00 gamma=90.00
With the nearest neighbours (Å) after each atom.
Fractional positions:
La1 0.0000 0.0000 0.0000  2 Ir 2.52
Te1 0.0000 0.5000 0.0000  2 La 3.08
Te2 0.5000 0.0000 0.0000  2 La 3.08
Ir1 0.0000 0.0000 0.5000  2 La 2.52
N1 0.5000 0.5000 0.5000  8 Te 3.98, 4 Ir 4.36